[1]
Crystalline Pu4Hg5Pb at its relaxed geometry. Source: the Alexandria database, functional PBE.

Calculated values
ΔE_f in eV per formula unit: -0.877
Spin magnetization in Bohr magnetons per cell: 23.655
Crystal system: tetragonal

a = 3.9107 Å, b = 3.9107 Å, c = 17.4928 Å
α = 90.00°, β = 90.00°, γ = 90.00°
Last column: nearest neighbours and their distance in Å.
Space group P4/mmm (No. 123)
Symmetry-distinct sites (fractional):
Pu (0.0000, 0.0000, 0.0987) (multiplicity 2)  8 Hg 3.26, 2 Pu 3.45-3.48
Pu (0.0000, 0.0000, 0.2977) (multiplicity 2)  8 Hg 3.26-3.27, 1 Pu 3.48, 1 Pb 3.54
Hg (0.5000, 0.5000, 0.0000) (multiplicity 1)  8 Pu 3.26, 2 Hg 3.46
Hg (0.5000, 0.5000, 0.1976) (multiplicity 2)  8 Pu 3.26-3.27, 2 Hg 3.46-3.47
Hg (0.5000, 0.5000, 0.3959) (multiplicity 2)  4 Pu 3.26, 4 Pb 3.31, 2 Hg 3.47-3.64
Pb (0.0000, 0.0000, 0.5000) (multiplicity 1)  8 Hg 3.31, 2 Pu 3.54

***

[2]
Crystalline FeRh3Br at its relaxed geometry. Source: the Alexandria database, functional PBE.

Calculated values
Raw formation energy in meV/atom: 1229.3
Spin magnetization in Bohr magnetons per cell: 4.538
Crystal system: cubic
Energy above the most stable polymorph in this dataset in meV/atom: 31.3

a = 4.5611 Å, b = 4.5611 Å, c = 4.5611 Å
α = 90.00°, β = 90.00°, γ = 90.00°
Last column: nearest neighbours and their distance in Å.
Space group Pm-3m (No. 221)
Symmetry-distinct sites (fractional):
Fe (0.0000, 0.0000, 0.0000) (multiplicity 1)  12 Rh 3.23
Rh (0.0000, 0.5000, 0.5000) (multiplicity 3)  2 Br 2.28
Br (0.5000, 0.5000, 0.5000) (multiplicity 1)  6 Rh 2.28

***

[3]
Crystalline MgSn2BiN at its relaxed geometry. Source: the Alexandria database, functional PBE.

Calculated values
Raw formation energy in meV/atom: 1059.7
Spin magnetization in Bohr magnetons per cell: 0.007
Crystal system: tetragonal

a = 6.0328 Å, b = 6.0328 Å, c = 4.2596 Å
α = 90.00°, β = 90.00°, γ = 90.00°
Last column: nearest neighbours and their distance in Å.
Space group P4/mmm (No. 123)
Symmetry-distinct sites (fractional):
Mg (0.0000, 0.0000, 0.0000) (multiplicity 1)  8 Sn 3.69
Sn (0.0000, 0.5000, 0.5000) (multiplicity 2)  2 Bi 3.02
Bi (0.5000, 0.5000, 0.5000) (multiplicity 1)  2 N 2.13
N (0.5000, 0.5000, 0.0000) (multiplicity 1)  2 Bi 2.13

***

[4]
Crystalline Ni5Ir at its relaxed geometry. Source: the Alexandria database, functional PBE.

Calculated values
ΔE_f in eV per formula unit: 0.102
Spin magnetization in Bohr magnetons per cell: 8.004
Crystal system: monoclinic
Energy above the most stable polymorph in this dataset in meV/atom: 0.0

a = 8.0514 Å, b = 3.5856 Å, c = 5.0980 Å
α = 90.00°, β = 108.72°, γ = 90.00°
Last column: nearest neighbours and their distance in Å.
Space group C2/m (No. 12)
Symmetry-distinct sites (fractional):
Ni (0.0000, 0.0000, 0.0000) (multiplicity 2)  10 Ni 2.53-2.54, 2 Ir 2.55
Ni (0.1667, 0.5000, 0.3301) (multiplicity 4)  9 Ni 2.51-2.59, 3 Ir 2.54-2.55
Ni (0.1672, 0.5000, 0.8375) (multiplicity 4)  10 Ni 2.51-2.59, 2 Ir 2.55
Ir (0.0000, 0.0000, 0.5000) (multiplicity 2)  12 Ni 2.54-2.55